1.
A relaxed structure of Na4HgBi, computed with PBE.

Lattice parameters (Å, degrees): 9.607 9.607 7.036 101.98 101.98 37.11
Positions (direct):
1 Na 0.051 0.794 0.542
2 Na 0.184 0.495 0.935
3 Na 0.206 0.949 0.958
4 Na 0.495 0.184 0.435
5 Na 0.505 0.816 0.565
6 Na 0.794 0.051 0.042
7 Na 0.816 0.505 0.065
8 Na 0.949 0.206 0.458
9 Hg 0.000 0.500 0.500
10 Hg 0.500 0.000 0.000
11 Bi 0.431 0.569 0.250
12 Bi 0.569 0.431 0.750

Computed properties:
formation enthalpy at 0 K = -0.16 eV/atom
ρ = 4.36 g cm⁻³
magnetization = 0.000 μB per cell

***

2.
A relaxed structure of LiMn2Co2, computed with PBE.

Lattice parameters (Å, degrees): 6.919 6.919 2.482 90.00 90.00 90.00
Positions (direct):
1 Li 0.000 0.000 0.000
2 Li 0.500 0.500 0.000
3 Mn 0.167 0.333 0.500
4 Mn 0.333 0.833 0.500
5 Mn 0.667 0.167 0.500
6 Mn 0.833 0.667 0.500
7 Co 0.127 0.627 0.000
8 Co 0.373 0.127 0.000
9 Co 0.627 0.873 0.000
10 Co 0.873 0.373 0.000

Computed properties:
formation enthalpy at 0 K = 0.21 eV/atom
ρ = 6.56 g cm⁻³
magnetization = 6.070 μB per cell

***

3.
A relaxed structure of Sc2Pd5Rh, computed with PBE.

Lattice parameters (Å, degrees): 5.670 11.344 3.961 90.00 90.00 90.00
Positions (direct):
1 Sc 0.244 0.122 0.000
2 Sc 0.256 0.622 0.000
3 Sc 0.744 0.378 0.000
4 Sc 0.756 0.878 0.000
5 Pd 0.000 0.500 0.500
6 Pd 0.001 0.250 0.500
7 Pd 0.249 0.875 0.000
8 Pd 0.251 0.375 0.000
9 Pd 0.499 0.750 0.500
10 Pd 0.500 0.000 0.500
11 Pd 0.501 0.250 0.500
12 Pd 0.749 0.625 0.000
13 Pd 0.751 0.125 0.000
14 Pd 0.999 0.750 0.500
15 Rh 0.000 0.000 0.500
16 Rh 0.500 0.500 0.500

Computed properties:
formation enthalpy at 0 K = -0.77 eV/atom
ρ = 9.45 g cm⁻³
magnetization = 0.000 μB per cell

***

4.
A relaxed structure of GdHoMgCd, computed with PBE.

Lattice parameters (Å, degrees): 7.532 7.532 7.532 90.00 90.00 90.00
Positions (direct):
1 Gd 0.000 0.000 0.000
2 Gd 0.000 0.500 0.500
3 Gd 0.500 0.000 0.500
4 Gd 0.500 0.500 0.000
5 Ho 0.000 0.000 0.500
6 Ho 0.000 0.500 0.000
7 Ho 0.500 0.000 0.000
8 Ho 0.500 0.500 0.500
9 Mg 0.250 0.250 0.750
10 Mg 0.250 0.750 0.250
11 Mg 0.750 0.250 0.250
12 Mg 0.750 0.750 0.750
13 Cd 0.250 0.250 0.250
14 Cd 0.250 0.750 0.750
15 Cd 0.750 0.250 0.750
16 Cd 0.750 0.750 0.250

Computed properties:
formation enthalpy at 0 K = -0.21 eV/atom
ρ = 7.13 g cm⁻³
magnetization = 31.467 μB per cell

***

5.
A relaxed structure of Pm2DyGe4Pt3, computed with PBE.

Lattice parameters (Å, degrees): 4.293 4.293 11.331 90.00 90.00 90.00
Positions (direct):
1 Pm 0.000 0.500 0.232
2 Pm 0.500 0.000 0.768
3 Dy 0.000 0.000 0.500
4 Ge 0.000 0.000 0.000
5 Ge 0.000 0.500 0.663
6 Ge 0.500 0.000 0.337
7 Ge 0.500 0.500 0.000
8 Pt 0.000 0.500 0.882
9 Pt 0.500 0.000 0.118
10 Pt 0.500 0.500 0.500

Computed properties:
formation enthalpy at 0 K = -0.90 eV/atom
ρ = 10.56 g cm⁻³
magnetization = 0.000 μB per cell

***

6.
A relaxed structure of Na3Si5Pt6, computed with PBE.

Lattice parameters (Å, degrees): 3.965 12.673 9.788 90.00 90.00 90.00
Positions (direct):
1 Na 0.250 0.103 0.249
2 Na 0.250 0.397 0.249
3 Na 0.250 0.750 0.261
4 Na 0.750 0.250 0.739
5 Na 0.750 0.603 0.751
6 Na 0.750 0.897 0.751
7 Si 0.250 0.072 0.841
8 Si 0.250 0.428 0.841
9 Si 0.250 0.631 0.515
10 Si 0.250 0.750 0.901
11 Si 0.250 0.869 0.515
12 Si 0.750 0.131 0.485
13 Si 0.750 0.250 0.099
14 Si 0.750 0.369 0.485
15 Si 0.750 0.572 0.159
16 Si 0.750 0.928 0.159
17 Pt 0.250 0.045 0.603
18 Pt 0.250 0.250 0.496
19 Pt 0.250 0.250 0.962
20 Pt 0.250 0.455 0.603
21 Pt 0.250 0.580 0.014
22 Pt 0.250 0.920 0.014
23 Pt 0.750 0.080 0.986
24 Pt 0.750 0.420 0.986
25 Pt 0.750 0.545 0.397
26 Pt 0.750 0.750 0.038
27 Pt 0.750 0.750 0.504
28 Pt 0.750 0.955 0.397

Computed properties:
ρ = 9.32 g cm⁻³
magnetization = 0.000 μB per cell
energy relative to the elements, uncorrected = -0.577 eV/atom

***

7.
A relaxed structure of Tb3PmSm6, computed with PBE.

Lattice parameters (Å, degrees): 11.735 11.735 6.460 90.00 90.00 130.82
Positions (direct):
1 Tb 0.081 0.919 0.500
2 Tb 0.204 0.459 0.890
3 Tb 0.459 0.204 0.390
4 Tb 0.541 0.796 0.890
5 Tb 0.796 0.541 0.390
6 Tb 0.919 0.081 0.000
7 Pm 0.341 0.659 0.414
8 Pm 0.659 0.341 0.914
9 Sm 0.044 0.607 0.733
10 Sm 0.120 0.239 0.479
11 Sm 0.199 0.801 0.204
12 Sm 0.239 0.120 0.979
13 Sm 0.393 0.956 0.733
14 Sm 0.485 0.515 0.211
15 Sm 0.515 0.485 0.711
16 Sm 0.607 0.044 0.233
17 Sm 0.761 0.880 0.479
18 Sm 0.801 0.199 0.704
19 Sm 0.880 0.761 0.979
20 Sm 0.956 0.393 0.233

Computed properties:
formation enthalpy at 0 K = 0.12 eV/atom
ρ = 7.52 g cm⁻³
magnetization = 0.000 μB per cell

***

8.
A relaxed structure of Li2MgAlH, computed with PBE.

Lattice parameters (Å, degrees): 4.271 4.271 4.029 90.00 90.00 90.00
Positions (direct):
1 Li 0.000 0.500 0.000
2 Li 0.500 0.000 0.000
3 Mg 0.000 0.000 0.500
4 Al 0.500 0.500 0.500
5 H 0.500 0.500 0.000

Computed properties:
total energy = -12.67 eV per cell
ρ = 1.50 g cm⁻³
magnetization = 0.000 μB per cell